# 1
La2FeSe after structural relaxation. Source: Alexandria via LeMat-Bulk, functional GGA-PBE. Values from VASP.

Quantum ESPRESSO input file:
```
&SYSTEM
  ibrav = 0, nat = 4, ntyp = 3
/
ATOMIC_SPECIES
La 138.91 La.upf
Fe 55.84 Fe.upf
Se 78.96 Se.upf
CELL_PARAMETERS angstrom
-2.2883 2.9113 3.7429
2.2883 -2.9113 3.7429
2.2883 2.9113 -3.7429
ATOMIC_POSITIONS angstrom
La 0.0000 0.0000 1.7269
La 0.0000 0.0000 5.7590
Fe 2.2883 0.0000 0.0000
Se 0.0000 2.9113 0.0000
```

---

# 2
! SmPa, optimized geometry, DFT GGA-PBE; values from VASP
! E above lowest polymorph   109.0 meV/atom
! Energy of formation from the pure elements   0.234 eV/atom
&SYSTEM
  ibrav = 0, nat = 2, ntyp = 2
/
ATOMIC_SPECIES
Sm 150.36 Sm.upf
Pa 231.04 Pa.upf
CELL_PARAMETERS angstrom
3.3324 0.0000 0.0000
-1.6662 2.8859 0.0000
0.0000 0.0000 5.8731
ATOMIC_POSITIONS angstrom
Sm 0.0000 0.0000 0.0000
Pa 0.0000 1.9240 2.9365

---

# 3
! KBa2Ta, optimized geometry, DFT GGA-PBE; values from VASP
! E above lowest polymorph   309.6 meV/atom
! Energy of formation from the pure elements   1.132 eV/atom
&SYSTEM
  ibrav = 0, nat = 4, ntyp = 3
/
ATOMIC_SPECIES
K 39.10 K.upf
Ba 137.33 Ba.upf
Ta 180.95 Ta.upf
CELL_PARAMETERS angstrom
4.5140 0.0000 0.0000
0.0000 4.5140 0.0000
0.0000 0.0000 9.6524
ATOMIC_POSITIONS angstrom
K 0.0000 0.0000 0.0000
Ba 0.0000 0.0000 3.7404
Ba 2.2570 2.2570 6.3167
Ta 2.2570 2.2570 2.4924

---

# 4
ReAsW2Se after structural relaxation. Source: Alexandria via LeMat-Bulk, functional GGA-PBE. Values from VASP.

Quantum ESPRESSO input file:
```
&SYSTEM
  ibrav = 0, nat = 5, ntyp = 4
/
ATOMIC_SPECIES
Re 186.21 Re.upf
As 74.92 As.upf
W 183.84 W.upf
Se 78.96 Se.upf
CELL_PARAMETERS angstrom
4.6234 0.0000 0.0000
0.0000 4.6234 0.0000
0.0000 0.0000 4.7597
ATOMIC_POSITIONS angstrom
Re 0.0000 0.0000 0.0000
As 2.3117 2.3117 2.3799
W 0.0000 2.3117 2.3799
W 2.3117 0.0000 2.3799
Se 2.3117 2.3117 0.0000
```

---

# 5
! Zr2AgPd, optimized geometry, DFT GGA-PBE; values from VASP
! E above lowest polymorph   0.0 meV/atom
! Energy of formation from the pure elements   -0.276 eV/atom
&SYSTEM
  ibrav = 0, nat = 4, ntyp = 3
/
ATOMIC_SPECIES
Zr 91.22 Zr.upf
Ag 107.87 Ag.upf
Pd 106.42 Pd.upf
CELL_PARAMETERS angstrom
4.2831 0.0000 0.0000
0.0000 4.2831 0.0000
0.0000 0.0000 4.1829
ATOMIC_POSITIONS angstrom
Zr 0.0000 2.1415 0.0000
Zr 2.1415 0.0000 0.0000
Ag 0.0000 0.0000 2.0914
Pd 2.1415 2.1415 2.0914

---

# 6
CsBaLiF4 after structural relaxation. Source: Alexandria via LeMat-Bulk, functional GGA-PBE. Values from VASP.

Quantum ESPRESSO input file:
```
&SYSTEM
  ibrav = 0, nat = 14, ntyp = 4
/
ATOMIC_SPECIES
Cs 132.91 Cs.upf
Ba 137.33 Ba.upf
Li 6.94 Li.upf
F 19.00 F.upf
CELL_PARAMETERS angstrom
2.8883 -7.3984 0.0000
2.8883 7.3984 0.0000
0.0000 0.0000 5.8231
ATOMIC_POSITIONS angstrom
Cs 2.8883 5.9441 4.3673
Cs 2.8883 -5.9441 1.4558
Ba 2.8883 1.8773 4.3673
Ba 2.8883 -1.8773 1.4558
Li 2.8883 3.9357 1.4558
Li 2.8883 -3.9357 4.3673
F 1.4441 3.6992 0.0000
F 1.4441 3.6992 2.9115
F 2.8883 5.8741 1.4558
F 2.8883 0.8128 1.4558
F 1.4441 -3.6992 0.0000
F 1.4441 -3.6992 2.9115
F 2.8883 -0.8128 4.3673
F 2.8883 -5.8741 4.3673
```

---

# 7
! Ce2TlCd, optimized geometry, DFT GGA-PBE; values from VASP
! Energy of formation from the pure elements   -0.158 eV/atom
&SYSTEM
  ibrav = 0, nat = 4, ntyp = 3
/
ATOMIC_SPECIES
Ce 140.12 Ce.upf
Tl 204.38 Tl.upf
Cd 112.41 Cd.upf
CELL_PARAMETERS angstrom
4.1110 0.0000 0.0000
0.0000 4.1110 0.0000
0.0000 0.0000 6.7301
ATOMIC_POSITIONS angstrom
Ce 0.0000 0.0000 1.6799
Ce 0.0000 0.0000 5.0502
Tl 2.0555 2.0555 0.0000
Cd 2.0555 2.0555 3.3650

---

# 8
! Nd2Ni3Ge4Pd, optimized geometry, DFT GGA-PBE; values from VASP
! Energy of formation from the pure elements   -0.726 eV/atom
&SYSTEM
  ibrav = 0, nat = 10, ntyp = 4
/
ATOMIC_SPECIES
Nd 144.24 Nd.upf
Ni 58.69 Ni.upf
Ge 72.64 Ge.upf
Pd 106.42 Pd.upf
CELL_PARAMETERS angstrom
4.2137 0.0000 0.0000
0.0000 4.2137 0.0000
0.0000 0.0000 9.8069
ATOMIC_POSITIONS angstrom
Nd 0.0000 2.1069 2.4045
Nd 2.1069 0.0000 7.4024
Ni 0.0000 2.1069 8.6321
Ni 2.1069 0.0000 1.1748
Ni 2.1069 2.1069 4.9034
Ge 0.0000 0.0000 0.0000
Ge 0.0000 2.1069 6.2506
Ge 2.1069 0.0000 3.5563
Ge 2.1069 2.1069 0.0000
Pd 0.0000 0.0000 4.9034

---

# 9
! Al2HgBS, optimized geometry, DFT GGA-PBE; values from VASP
! E above lowest polymorph   0.0 meV/atom
&SYSTEM
  ibrav = 0, nat = 5, ntyp = 4
/
ATOMIC_SPECIES
Al 26.98 Al.upf
Hg 200.59 Hg.upf
B 10.81 B.upf
S 32.06 S.upf
CELL_PARAMETERS angstrom
4.2761 0.0000 0.0000
0.0000 4.2761 0.0000
0.0000 0.0000 4.6875
ATOMIC_POSITIONS angstrom
Al 0.0000 2.1380 0.0000
Al 2.1380 0.0000 0.0000
Hg 0.0000 0.0000 2.3437
B 2.1380 2.1380 0.0000
S 2.1380 2.1380 2.3437

---

# 10
! Cd2GaAu6, optimized geometry, DFT GGA-PBE; values from VASP
! E above lowest polymorph   0.0 meV/atom
! Energy of formation from the pure elements   -0.121 eV/atom
&SYSTEM
  ibrav = 0, nat = 9, ntyp = 3
/
ATOMIC_SPECIES
Cd 112.41 Cd.upf
Ga 69.72 Ga.upf
Au 196.97 Au.upf
CELL_PARAMETERS angstrom
8.0563 0.0000 0.0000
-4.0282 6.9770 0.0000
0.0000 0.0000 2.9497
ATOMIC_POSITIONS angstrom
Cd 0.0000 4.6513 0.0000
Cd 4.0282 2.3257 0.0000
Ga 0.0000 0.0000 1.4748
Au -1.4827 2.5680 1.4748
Au -2.8736 4.9773 0.0000
Au 1.1545 1.9997 0.0000
Au 2.9653 0.0000 1.4748
Au 2.5455 4.4089 1.4748
Au 5.7473 0.0000 0.0000

---

# 11
! Pr3Tm, optimized geometry, DFT GGA-PBE; values from VASP
! E above lowest polymorph   0.0 meV/atom
! Energy of formation from the pure elements   0.013 eV/atom
&SYSTEM
  ibrav = 0, nat = 4, ntyp = 2
/
ATOMIC_SPECIES
Pr 140.91 Pr.upf
Tm 168.93 Tm.upf
CELL_PARAMETERS angstrom
5.1684 0.0000 0.0000
0.0000 5.1684 0.0000
0.0000 0.0000 5.1684
ATOMIC_POSITIONS angstrom
Pr 0.0000 0.0000 2.5842
Pr 0.0000 2.5842 0.0000
Pr 2.5842 0.0000 0.0000
Tm 2.5842 2.5842 2.5842

---

| no. | VASP energy (eV per formula unit) | DOS(E_F) (states/eV/atom) |
| --- | --- | --- |
| 1 | -23.74 | 0.941 |
| 2 | -13.75 | 1.642 |
| 3 | -12.27 | 1.481 |
| 4 | -35.30 | 1.433 |
| 5 | -26.24 | 1.110 |
| 6 | -34.62 | 0.000 |
| 7 | -15.78 | 3.363 |
| 8 | -57.80 | 0.676 |
| 9 | -16.61 | 0.476 |
| 10 | -25.61 | 0.218 |
| 11 | -18.76 | 1.492 |